SrYTlCd: relaxed, GGA-PBE.

The polymorph energy (0 for the lowest one) is 0.0 meV per atom. The formation energy is -0.3711 eV per atom.

The structure belongs to space group P4mm (No. 99); the cell edges are 3.881, 3.881 and 7.979 Å and the angles 90.00°, 90.00° and 90.00°. Symmetry generates all atoms from Sr at (0.000, 0.000, 0.000), Y at (0.000, 0.000, 0.509), Tl at (0.500, 0.500, 0.278) and Cd at (0.500, 0.500, 0.724).

ScCoRh2: relaxed, GGA-PBE.

The formation energy is -0.0041 eV per atom.

The structure belongs to space group I-42d (No. 122); the cell edges are 3.842, 3.842 and 17.367 Å and the angles 90.00°, 90.00° and 90.00°. Symmetry generates all atoms from Sc at (0.000, 0.000, 0.000), Co at (0.000, 0.000, 0.500) and Rh at (0.222, 0.250, 0.625).

MgAsOs2: relaxed, GGA-PBE.

The polymorph energy (0 for the lowest one) is 294.3 meV per atom. The formation energy is 0.4287 eV per atom.

The structure belongs to space group I-4m2 (No. 119); the cell edges are 3.861, 3.861 and 8.047 Å and the angles 90.00°, 90.00° and 90.00°. Symmetry generates all atoms from Mg at (0.000, 0.000, 0.000), As at (0.000, 0.500, 0.250), Os at (0.000, 0.000, 0.500) and Os at (0.000, 0.500, 0.750).

CsCuSbPb2: relaxed, GGA-PBE.

As for the uncorrected formation energy: 0.13 eV per atom.

The structure belongs to space group P4/mmm (No. 123); the cell edges are 5.515, 5.515 and 5.440 Å and the angles 90.00°, 90.00° and 90.00°. Symmetry generates all atoms from Cs at (0.000, 0.000, 0.000), Cu at (0.500, 0.500, 0.500), Sb at (0.500, 0.500, 0.000) and Pb at (0.000, 0.500, 0.500).

CdCoCl2: relaxed, GGA-PBE.

The polymorph energy (0 for the lowest one) is 226.5 meV per atom. As for the uncorrected formation energy: -0.13 eV per atom.

The structure belongs to space group P4mm (No. 99); the cell edges are 3.165, 3.165 and 8.313 Å and the angles 90.00°, 90.00° and 90.00°. Symmetry generates all atoms from Cd at (0.000, 0.000, 0.000), Co at (0.500, 0.500, 0.753), Cl at (0.000, 0.000, 0.616) and Cl at (0.500, 0.500, 0.200).

AcCdHgGe: relaxed, GGA-PBE.

The formation energy is -0.3374 eV per atom.

The structure belongs to space group F-43m (No. 216); the cell edges are 7.549, 7.549 and 7.549 Å and the angles 90.00°, 90.00° and 90.00°. Symmetry generates all atoms from Ac at (0.000, 0.000, 0.000), Cd at (0.000, 0.000, 0.500), Hg at (0.250, 0.250, 0.250) and Ge at (0.250, 0.250, 0.750).

CrCuSe2: relaxed, GGA-PBE.

The polymorph energy (0 for the lowest one) is 536.7 meV per atom. As for the uncorrected formation energy: 0.17 eV per atom.

The structure belongs to space group R3m (No. 160, hexagonal axes); the cell edges are 3.0332, 3.0332 and 28.9290 Å and the angles 90.00°, 90.00° and 120.00°. Symmetry generates all atoms from Cr at (0.0000, 0.0000, 0.0000), Cu at (0.0000, 0.0000, 0.7362), Se at (0.0000, 0.0000, 0.2780) and Se at (0.0000, 0.0000, 0.4653).

TiZnBiO5: relaxed, GGA-PBE.

As for the uncorrected formation energy: -1.80 eV per atom.

The structure belongs to space group Pbca (No. 61); the cell edges are 5.172, 15.653 and 10.794 Å and the angles 90.00°, 90.00° and 90.00°. Symmetry generates all atoms from Ti at (0.104, 0.111, 0.153), Zn at (0.033, 0.524, 0.868), Bi at (0.175, 0.215, 0.860), O at (0.012, 0.140, 0.697), O at (0.061, 0.689, 0.463), O at (0.131, 0.697, 0.213), O at (0.187, 0.546, 0.293) and O at (0.211, 0.555, 0.037).

PaCrTe: relaxed, GGA-PBE.

As for the uncorrected formation energy: -0.09 eV per atom.

The structure belongs to space group P2_1/c (No. 14); the cell edges are 4.855, 6.914 and 7.948 Å and the angles 90.00°, 105.34° and 90.00°. Symmetry generates all atoms from Pa at (0.072, 0.223, 0.428), Cr at (0.320, 0.701, 0.983) and Te at (0.480, 0.001, 0.217).

Nd6Dy7: relaxed, GGA-PBE.

The formation energy is 0.2570 eV per atom.

The structure belongs to space group R-3m (No. 166, hexagonal axes); the cell edges are 6.6620, 6.6620 and 35.0732 Å and the angles 90.00°, 90.00° and 120.00°. Symmetry generates all atoms from Nd at (0.0000, 0.0000, 0.0479), Nd at (0.0000, 0.0000, 0.1511), Nd at (0.0000, 0.0000, 0.3334), Dy at (0.0000, 0.0000, 0.5000) and Dy at (0.0025, 0.5013, 0.9135).

Ba4TeSeCl2: relaxed, GGA-PBE.

As for the uncorrected formation energy: -1.86 eV per atom.

The structure belongs to space group P2/m (No. 10); the cell edges are 8.020, 4.750 and 8.268 Å and the angles 90.00°, 109.93° and 90.00°. Symmetry generates all atoms from Ba at (0.245, 0.000, 0.237), Ba at (0.253, 0.500, 0.763), Te at (0.000, 0.000, 0.500), Se at (0.000, 0.500, 0.000), Cl at (0.500, 0.000, 0.000) and Cl at (0.500, 0.500, 0.500).

AsSe2SBr: relaxed, GGA-PBE.

The polymorph energy (0 for the lowest one) is 37.5 meV per atom. As for the uncorrected formation energy: 0.71 eV per atom.

The structure belongs to space group P4/mmm (No. 123); the cell edges are 4.964, 4.964 and 4.833 Å and the angles 90.00°, 90.00° and 90.00°. Symmetry generates all atoms from As at (0.000, 0.000, 0.000), Se at (0.000, 0.500, 0.500), S at (0.500, 0.500, 0.500) and Br at (0.500, 0.500, 0.000).

Ag7Pd: relaxed, GGA-PBE.

The formation energy is 0.0033 eV per atom.

The structure belongs to space group Fm-3m (No. 225); the cell edges are 8.245, 8.245 and 8.245 Å and the angles 90.00°, 90.00° and 90.00°. Symmetry generates all atoms from Ag at (0.000, 0.000, 0.000), Ag at (0.000, 0.250, 0.250) and Pd at (0.000, 0.000, 0.500).

TlCuPt2: relaxed, GGA-PBE.

The formation energy is 0.1343 eV per atom.

The structure belongs to space group P4mm (No. 99); the cell edges are 2.981, 2.981 and 7.673 Å and the angles 90.00°, 90.00° and 90.00°. Symmetry generates all atoms from Tl at (0.000, 0.000, 0.000), Cu at (0.500, 0.500, 0.273), Pt at (0.000, 0.000, 0.477) and Pt at (0.500, 0.500, 0.724).

Cr2TcRu: relaxed, GGA-PBE.

The formation energy is 0.2255 eV per atom.

The structure belongs to space group R3m (No. 160, hexagonal axes); the cell edges are 2.6775, 2.6775 and 25.5031 Å and the angles 90.00°, 90.00° and 120.00°. Symmetry generates all atoms from Cr at (0.0000, 0.0000, 0.0000), Cr at (0.0000, 0.0000, 0.2555), Tc at (0.0000, 0.0000, 0.7484) and Ru at (0.0000, 0.0000, 0.5086).

Ba6P2SCl3: relaxed, GGA-PBE.

As for the uncorrected formation energy: -1.78 eV per atom.

The structure belongs to space group C2/m (No. 12); the cell edges are 8.001, 13.866 and 8.043 Å and the angles 90.00°, 109.37° and 90.00°. Symmetry generates all atoms from Ba at (0.239, 0.000, 0.226), Ba at (0.244, 0.332, 0.226), P at (0.000, 0.167, 0.000), S at (0.000, 0.500, 0.000), Cl at (0.000, 0.000, 0.500) and Cl at (0.000, 0.333, 0.500).

Sm8Dy3Y3: relaxed, GGA-PBE.

The formation energy is 0.1096 eV per atom.

The structure belongs to space group Immm (No. 71); the cell edges are 5.667, 10.912 and 15.075 Å and the angles 90.00°, 90.00° and 90.00°. Symmetry generates all atoms from Sm at (0.000, 0.158, 0.224), Sm at (0.000, 0.339, 0.396), Dy at (0.000, 0.000, 0.500), Dy at (0.000, 0.500, 0.182), Y at (0.000, 0.000, 0.000) and Y at (0.000, 0.303, 0.000).

YAsS3: relaxed, GGA-PBE.

The polymorph energy (0 for the lowest one) is 1115.1 meV per atom. As for the uncorrected formation energy: 0.05 eV per atom.

The structure belongs to space group Pm-3m (No. 221); the cell edges are 5.182, 5.182 and 5.182 Å and the angles 90.00°, 90.00° and 90.00°. Symmetry generates all atoms from Y at (0.000, 0.000, 0.000), As at (0.500, 0.500, 0.500) and S at (0.000, 0.000, 0.500).

YTcPt2: relaxed, GGA-PBE.

The polymorph energy (0 for the lowest one) is 240.1 meV per atom. The formation energy is -0.2061 eV per atom.

The structure belongs to space group C2/m (No. 12); the cell edges are 9.562, 2.931 and 5.135 Å and the angles 90.00°, 100.19° and 90.00°. Symmetry generates all atoms from Y at (0.000, 0.000, 0.000), Tc at (0.000, 0.500, 0.500) and Pt at (0.241, 0.000, 0.725).

Nd2Sm2Co2Cl: relaxed, GGA-PBE.

As for the uncorrected formation energy: -0.46 eV per atom.

The structure belongs to space group C2/m (No. 12); the cell edges are 13.686, 3.745 and 8.589 Å and the angles 90.00°, 120.79° and 90.00°. Symmetry generates all atoms from Nd at (0.028, 0.000, 0.232), Sm at (0.233, 0.500, 0.815), Co at (0.099, 0.500, 0.018) and Cl at (0.000, 0.500, 0.500).

YFeGe3Rh: relaxed, GGA-PBE.

The formation energy is -0.2593 eV per atom.

The structure belongs to space group Cmcm (No. 63); the cell edges are 7.570, 11.019 and 5.648 Å and the angles 90.00°, 90.00° and 90.00°. Symmetry generates all atoms from Y at (0.000, 0.247, 0.250), Fe at (0.000, 0.041, 0.750), Ge at (0.000, 0.242, 0.750), Ge at (0.241, 0.000, 0.000) and Rh at (0.000, 0.453, 0.750).

Hg2Te2S: relaxed, GGA-PBE.

As for the uncorrected formation energy: 0.13 eV per atom.

The structure belongs to space group P4/mbm (No. 127); the cell edges are 7.918, 7.918 and 4.608 Å and the angles 90.00°, 90.00° and 90.00°. Symmetry generates all atoms from Hg at (0.125, 0.375, 0.000), Te at (0.220, 0.720, 0.500) and S at (0.000, 0.000, 0.500).

Number 1: total magnetic moment 0.2 μB/cell. Number 2: total magnetic moment 6.2 μB/cell. Number 3: total magnetic moment 0.0 μB/cell. Number 4: total magnetic moment 0.0 μB/cell. Number 5: total magnetic moment 2.0 μB/cell. Number 6: total magnetic moment 0.0 μB/cell. Number 7: total magnetic moment 1.8 μB/cell. Number 8: total magnetic moment 0.0 μB/cell. Number 9: total magnetic moment 0.0 μB/cell. Number 10: total magnetic moment 19.7 μB/cell. Number 11: total magnetic moment 0.0 μB/cell. Number 12: total magnetic moment 0.0 μB/cell. Number 13: total magnetic moment 0.0 μB/cell. Number 14: total magnetic moment 0.0 μB/cell. Number 15: total magnetic moment 0.0 μB/cell. Number 16: total magnetic moment 0.0 μB/cell. Number 17: total magnetic moment 0.0 μB/cell. Number 18: total magnetic moment 0.0 μB/cell. Number 19: total magnetic moment 0.0 μB/cell. Number 20: total magnetic moment 0.0 μB/cell. Number 21: total magnetic moment 4.8 μB/cell. Number 22: total magnetic moment 0.0 μB/cell.